No. 1
This record from the Alexandria database describes a geometry-optimized Al2HgBiP structure. The functional is GGA-PBE.

Cell lengths 4.841, 4.841, 5.980 Å; angles 90.00, 90.00, 90.00 degrees
Fractional positions:
Al  0.000  0.500  0.000
Al  0.500  0.000  0.000
Hg  0.000  0.000  0.000
Bi  0.000  0.000  0.500
P  0.500  0.500  0.500

The calculation puts the energy of formation at 0.85 eV per atom. For the total energy, the calculation gives -2.57 eV/atom. The density of states at the Fermi level comes out at 0.340 states/eV per atom. The value obtained for the theoretical density is 5.859 g/cm3. The space group is P4/mmm (123).


No. 2
This record from the Alexandria database describes a geometry-optimized AlHgBiPb structure. The functional is GGA-PBE.

Cell lengths 5.412, 5.412, 5.412 Å; angles 60.00, 60.00, 60.00 degrees
Fractional positions:
Al  0.000  0.000  0.000
Hg  0.250  0.250  0.250
Bi  0.750  0.750  0.750
Pb  0.500  0.500  0.500

The calculation puts the energy of formation at 0.20 eV per atom. For the total energy, the calculation gives -2.71 eV/atom. The density of states at the Fermi level comes out at 0.621 states/eV per atom. The value obtained for the theoretical density is 9.538 g/cm3. The space group is F-43m (216).


No. 3
This record from the Alexandria database describes a geometry-optimized AlHgBiPd2 structure. The functional is GGA-PBE.

Cell lengths 5.184, 5.184, 5.417 Å; angles 90.00, 90.00, 90.00 degrees
Fractional positions:
Al  0.000  0.000  0.000
Hg  0.500  0.500  0.000
Bi  0.000  0.000  0.500
Pd  0.000  0.500  0.500
Pd  0.500  0.000  0.500

The calculation puts the energy of formation at 0.62 eV per atom. For the total energy, the calculation gives -3.04 eV/atom. The density of states at the Fermi level comes out at 0.492 states/eV per atom. The value obtained for the theoretical density is 7.408 g/cm3. The space group is P4/mmm (123).